Model A:
Entry from Alexandria via LeMat-Bulk: a geometry-optimized Te2MoWS2 structure (PBE-GGA).

The structure in extended XYZ format:
```
12
Lattice="-0.324 2.525 -2.190 -1.052 0.379 3.166 31.318 11.818 8.994" Properties=species:S:1:pos:R:3 pbc="T T T"
Te 19.975 7.538 5.737
Te 6.840 2.581 1.964
Te 23.415 8.836 6.725
Te 10.261 3.872 2.947
Mo 7.740 4.320 3.836
Mo 15.014 5.666 4.312
S 12.839 6.244 5.301
S 2.370 2.294 2.294
S 15.570 7.275 6.085
S -0.372 1.259 1.507
W 1.809 0.683 0.519
W 20.886 9.281 7.612
```

Computed properties:
Space group: P3m1 (156)
Calculated volume (Å³/cell): 338.5



Model B:
Entry from Alexandria via LeMat-Bulk: a geometry-optimized Te2MoWS2 structure (PBE-GGA).

The structure in extended XYZ format:
```
6
Lattice="1.681 -2.912 0.000 1.681 2.912 0.000 0.000 0.000 14.502" Properties=species:S:1:pos:R:3 pbc="T T T"
W 1.681 -0.971 0.719
Te 0.000 0.000 13.318
Te 0.000 0.000 2.622
S 1.681 -0.971 9.520
S 1.681 -0.971 6.499
Mo 0.000 0.000 8.010
```

Computed properties:
Space group: P3m1 (156)
Calculated volume (Å³/cell): 142.0



Model C:
Entry from Alexandria via LeMat-Bulk: a geometry-optimized Te2MoWS2 structure (PBE-GGA).

The structure in extended XYZ format:
```
6
Lattice="3.354 0.000 0.000 -1.677 2.904 0.000 0.000 0.000 14.774" Properties=species:S:1:pos:R:3 pbc="T T T"
W 0.000 1.936 0.748
Te 0.000 1.936 10.038
Te 0.000 1.936 6.250
Mo 1.677 0.968 8.144
S 1.677 0.968 14.005
S 1.677 0.968 2.265
```

Computed properties:
Space group: P3m1 (156)
Calculated volume (Å³/cell): 143.9



Top of the stability list: model C, leading by 37 meV per atom.



Model A:
Entry from Alexandria via LeMat-Bulk: a geometry-optimized Te2MoWS2 structure (PBE-GGA).

The structure in extended XYZ format:
```
12
Lattice="3.363 0.000 0.000 -1.681 2.912 0.000 0.000 0.000 35.679" Properties=species:S:1:pos:R:3 pbc="T T T"
Te 0.000 1.941 33.676
Te 1.681 0.971 2.003
Te 0.000 1.941 29.872
Te 1.681 0.971 5.807
Mo 0.000 1.941 24.458
Mo 1.681 0.971 11.220
S 0.000 1.941 9.709
S 1.681 0.971 25.970
S 0.000 1.941 12.732
S 1.681 0.971 22.947
W 1.681 0.971 31.774
W 0.000 1.941 3.905
```

Computed properties:
Space group: P-3m1 (164)
Calculated volume (Å³/cell): 349.4



Model B:
Entry from Alexandria via LeMat-Bulk: a geometry-optimized Te2MoWS2 structure (PBE-GGA).

The structure in extended XYZ format:
```
12
Lattice="3.354 0.000 0.000 -1.677 2.905 0.000 0.000 0.000 38.284" Properties=species:S:1:pos:R:3 pbc="T T T"
Te 1.677 0.968 1.982
Te 0.000 1.936 36.302
Te 0.000 1.936 32.516
Te 1.677 0.968 5.768
Mo 1.677 0.968 34.408
Mo 0.000 1.936 3.875
W 0.000 1.936 27.067
W 1.677 0.968 11.217
S 0.000 1.936 12.736
S 0.000 1.936 9.699
S 1.677 0.968 28.585
S 1.677 0.968 25.548
```

Computed properties:
Space group: P-3m1 (164)
Calculated volume (Å³/cell): 373.0



Model C:
Entry from Alexandria via LeMat-Bulk: a geometry-optimized Te2MoWS2 structure (PBE-GGA).

The structure in extended XYZ format:
```
12
Lattice="3.358 0.000 0.000 -1.679 2.908 0.000 0.000 0.000 37.971" Properties=species:S:1:pos:R:3 pbc="T T T"
W 0.000 1.939 10.599
W 0.000 0.000 17.872
S 0.000 1.939 19.389
S 0.000 1.939 4.905
S 0.000 1.939 16.355
S 0.000 1.939 1.880
Te 0.000 0.000 8.694
Te 0.000 0.000 12.502
Te 0.000 0.000 23.312
Te 0.000 0.000 27.095
Mo 0.000 0.000 3.392
Mo 0.000 1.939 25.204
```

Computed properties:
Space group: P3m1 (156)
Calculated volume (Å³/cell): 370.8



Top of the stability list: model B, leading by 36 meV per atom.



Model A:
Entry from Alexandria via LeMat-Bulk: a geometry-optimized Te4MoW2S2 structure (PBE-GGA).

The structure in extended XYZ format:
```
9
Lattice="3.418 0.000 0.000 -1.709 2.960 0.000 0.000 0.000 25.615" Properties=species:S:1:pos:R:3 pbc="T T T"
W 1.709 0.987 16.600
W 0.000 0.000 9.345
Te 1.709 0.987 0.486
Te 0.000 0.000 18.476
Te 0.000 0.000 14.725
Te 1.709 0.987 22.370
S 1.709 0.987 7.846
S 1.709 0.987 10.846
Mo 0.000 0.000 24.236
```

Computed properties:
Space group: P3m1 (156)
Calculated volume (Å³/cell): 259.1



Model B:
Entry from Alexandria via LeMat-Bulk: a geometry-optimized Te4MoW2S2 structure (PBE-GGA).

The structure in extended XYZ format:
```
9
Lattice="2.572 1.464 1.732 -2.979 1.657 -0.372 -10.187 -12.537 25.723" Properties=species:S:1:pos:R:3 pbc="T T T"
W -8.928 -8.006 20.024
W -3.516 -1.345 6.358
Mo 0.722 1.528 1.031
S -10.815 -10.328 24.789
S -1.629 0.977 1.593
Te -6.451 -7.299 19.142
Te -2.293 -2.181 8.643
Te -1.038 -0.637 5.473
Te -7.706 -8.843 22.311
```

Computed properties:
Space group: P-6m2 (187)
Calculated volume (Å³/cell): 309.3



Top of the stability list: model A, leading by 46 meV per atom.



Model A:
Entry from Alexandria via LeMat-Bulk: a geometry-optimized TlMoS2 structure (PBE-GGA).

The structure in extended XYZ format:
```
4
Lattice="0.000 3.270 3.270 3.270 0.000 3.270 3.270 3.270 0.000" Properties=species:S:1:pos:R:3 pbc="T T T"
Mo 0.000 0.000 0.000
S 4.905 4.905 4.905
S 1.635 1.635 1.635
Tl 3.270 3.270 3.270
```

Computed properties:
Space group: Fm-3m (225)
Calculated volume (Å³/cell): 69.9



Model B:
Entry from Alexandria via LeMat-Bulk: a geometry-optimized TlMoS2 structure (PBE-GGA).

The structure in extended XYZ format:
```
8
Lattice="-5.588 -0.898 3.590 -3.280 -1.810 -5.558 -3.169 -6.068 -0.195" Properties=species:S:1:pos:R:3 pbc="T T T"
Tl 0.000 0.000 0.000
Tl -6.595 -4.160 1.206
S -6.066 -5.767 -1.499
S -9.773 -6.720 -1.252
S -4.076 -2.205 1.103
S -4.160 -2.860 -2.676
Mo -4.434 -1.354 -0.984
Mo -5.442 -4.616 -3.368
```

Computed properties:
Space group: I-42d (122)
Calculated volume (Å³/cell): 222.1



Top of the stability list: model B, leading by 609 meV per atom.



Model A:
Entry from Alexandria via LeMat-Bulk: a geometry-optimized TlMoS2 structure (PBE-GGA).

The structure in extended XYZ format:
```
4
Lattice="-0.279 -2.904 1.468 0.561 -2.742 -1.684 8.729 -1.539 2.246" Properties=species:S:1:pos:R:3 pbc="T T T"
Mo 0.000 0.000 0.000
Tl 4.505 -3.592 1.015
S 7.403 -5.363 1.696
S 1.607 -1.822 0.334
```

Computed properties:
Space group: R-3m (166)
Calculated volume (Å³/cell): 82.6



Model B:
Entry from Alexandria via LeMat-Bulk: a geometry-optimized TlMoS2 structure (PBE-GGA).

The structure in extended XYZ format:
```
4
Lattice="1.888 0.000 9.412 -0.944 1.635 9.412 -0.944 -1.635 9.412" Properties=species:S:1:pos:R:3 pbc="T T T"
S 0.000 0.000 25.086
S 0.000 0.000 3.151
Mo 0.000 0.000 14.119
Tl 0.000 0.000 0.000
```

Computed properties:
Space group: R-3m (166)
Calculated volume (Å³/cell): 87.2



Top of the stability list: model B, leading by 6 meV per atom.



Model A:
Entry from Alexandria via LeMat-Bulk: a geometry-optimized TlMo3S structure (PBE-GGA).

The structure in extended XYZ format:
```
5
Lattice="5.012 0.000 0.000 0.000 5.012 0.000 0.000 0.000 5.012" Properties=species:S:1:pos:R:3 pbc="T T T"
S 2.506 2.506 2.506
Tl 0.000 0.000 0.000
Mo 2.506 0.000 0.000
Mo 0.000 0.000 2.506
Mo 0.000 2.506 0.000
```

Computed properties:
Space group: Pm-3m (221)
Calculated volume (Å³/cell): 125.9



Model B:
Entry from Alexandria via LeMat-Bulk: a geometry-optimized TlMo3S structure (PBE-GGA).

The structure in extended XYZ format:
```
5
Lattice="4.480 0.000 0.000 0.000 4.480 0.000 0.000 0.000 4.480" Properties=species:S:1:pos:R:3 pbc="T T T"
Mo 0.000 2.240 0.000
Mo 2.240 0.000 0.000
Mo 0.000 0.000 2.240
S 0.000 0.000 0.000
Tl 2.240 2.240 2.240
```

Computed properties:
Space group: Pm-3m (221)
Calculated volume (Å³/cell): 89.9



Top of the stability list: model B, leading by 2409 meV per atom.



Model A:
Entry from Alexandria via LeMat-Bulk: a geometry-optimized Tl2MoS structure (PBE-GGA).

The structure in extended XYZ format:
```
4
Lattice="0.000 3.635 3.635 3.635 0.000 3.635 3.635 3.635 0.000" Properties=species:S:1:pos:R:3 pbc="T T T"
Tl 1.817 1.817 1.817
Tl 5.452 5.452 5.452
S 0.000 0.000 0.000
Mo 3.635 3.635 3.635
```

Computed properties:
Space group: Fm-3m (225)
Calculated volume (Å³/cell): 96.1



Model B:
Entry from Alexandria via LeMat-Bulk: a geometry-optimized Tl2MoS structure (PBE-GGA).

The structure in extended XYZ format:
```
8
Lattice="-0.371 -7.520 -2.539 3.040 2.213 -6.999 4.113 -3.145 -3.718" Properties=species:S:1:pos:R:3 pbc="T T T"
Tl 4.101 -4.338 -6.401
Tl 5.404 -7.014 -11.099
Tl 2.880 -0.381 -5.634
Tl 1.178 -5.171 -3.378
Mo 2.538 -6.659 -5.513
Mo 0.000 0.000 0.000
S 4.243 -1.793 -7.743
S 1.334 -2.653 -4.769
```

Computed properties:
Space group: I-42d (122)
Calculated volume (Å³/cell): 190.1



Top of the stability list: model B, leading by 202 meV per atom.



Model A:
Entry from Alexandria via LeMat-Bulk: a geometry-optimized Tl3MoS structure (PBE-GGA).

The structure in extended XYZ format:
```
5
Lattice="5.247 0.000 0.000 0.000 5.247 0.000 0.000 0.000 5.247" Properties=species:S:1:pos:R:3 pbc="T T T"
Tl 2.623 0.000 0.000
Tl 0.000 0.000 2.623
Tl 0.000 2.623 0.000
Mo 2.623 2.623 2.623
S 0.000 0.000 0.000
```

Computed properties:
Space group: Pm-3m (221)
Calculated volume (Å³/cell): 144.5



Model B:
Entry from Alexandria via LeMat-Bulk: a geometry-optimized Tl3MoS structure (PBE-GGA).

The structure in extended XYZ format:
```
5
Lattice="5.446 0.000 0.000 0.000 5.446 0.000 0.000 0.000 5.446" Properties=species:S:1:pos:R:3 pbc="T T T"
Tl 2.723 0.000 0.000
Tl 0.000 0.000 2.723
Tl 0.000 2.723 0.000
S 2.723 2.723 2.723
Mo 0.000 0.000 0.000
```

Computed properties:
Space group: Pm-3m (221)
Calculated volume (Å³/cell): 161.5



Top of the stability list: model B, leading by 613 meV per atom.



Model A:
Entry from Alexandria via LeMat-Bulk: a geometry-optimized V3MoS structure (PBE-GGA).

The structure in extended XYZ format:
```
5
Lattice="4.239 0.000 0.000 0.000 4.239 0.000 0.000 0.000 4.239" Properties=species:S:1:pos:R:3 pbc="T T T"
V 0.000 2.119 0.000
V 2.119 0.000 0.000
V 0.000 0.000 2.119
S 0.000 0.000 0.000
Mo 2.119 2.119 2.119
```

Computed properties:
Space group: Pm-3m (221)
Calculated volume (Å³/cell): 76.2



Model B:
Entry from Alexandria via LeMat-Bulk: a geometry-optimized V3MoS structure (PBE-GGA).

The structure in extended XYZ format:
```
5
Lattice="4.573 0.000 0.000 0.000 4.573 0.000 0.000 0.000 4.573" Properties=species:S:1:pos:R:3 pbc="T T T"
V 2.287 0.000 0.000
V 0.000 2.287 0.000
V 0.000 0.000 2.287
S 2.287 2.287 2.287
Mo 0.000 0.000 0.000
```

Computed properties:
Space group: Pm-3m (221)
Calculated volume (Å³/cell): 95.6



Model C:
Entry from Alexandria via LeMat-Bulk: a geometry-optimized V3MoS structure (PBE-GGA).

The structure in extended XYZ format:
```
10
Lattice="-0.896 0.472 4.859 1.056 -4.781 0.656 5.808 1.408 0.935" Properties=species:S:1:pos:R:3 pbc="T T T"
Mo 3.992 -0.408 3.252
Mo 0.292 0.687 5.001
V 3.201 -3.550 3.087
V 3.300 1.355 4.881
V 2.254 -1.012 5.200
V 6.113 -2.843 3.554
V 5.150 -0.311 5.665
V 1.200 -1.188 2.203
S 4.634 -2.186 1.937
S 1.274 -2.614 3.894
```

Computed properties:
Space group: Pmn2_1 (31)
Calculated volume (Å³/cell): 148.3



Top of the stability list: model C, leading by 304 meV per atom.



Model A:
Entry from Alexandria via LeMat-Bulk: a geometry-optimized VMoS2 structure (PBE-GGA).

The structure in extended XYZ format:
```
4
Lattice="-0.172 -0.729 3.550 3.028 -1.040 -1.707 2.422 5.196 1.235" Properties=species:S:1:pos:R:3 pbc="T T T"
V 2.678 -0.660 0.122
Mo 3.191 2.834 2.682
S 3.761 1.618 0.630
S 1.678 -0.316 2.003
```

Computed properties:
Space group: Cm (8)
Calculated volume (Å³/cell): 69.2



Model B:
Entry from Alexandria via LeMat-Bulk: a geometry-optimized VMoS2 structure (PBE-GGA).

The structure in extended XYZ format:
```
8
Lattice="5.410 0.000 0.000 0.000 5.410 0.000 2.705 2.705 5.238" Properties=species:S:1:pos:R:3 pbc="T T T"
S 1.385 4.057 1.309
S 6.762 6.730 3.928
S 4.025 1.352 1.309
S 4.057 4.090 3.928
Mo 5.410 2.705 2.619
Mo 0.000 0.000 0.000
V 2.705 5.410 2.619
V 2.705 2.705 0.000
```

Computed properties:
Space group: I-42d (122)
Calculated volume (Å³/cell): 153.3



Model C:
Entry from Alexandria via LeMat-Bulk: a geometry-optimized VMoS2 structure (PBE-GGA).

The structure in extended XYZ format:
```
4
Lattice="0.000 2.989 2.989 2.989 0.000 2.989 2.989 2.989 0.000" Properties=species:S:1:pos:R:3 pbc="T T T"
S 4.484 4.484 4.484
S 1.495 1.495 1.495
Mo 2.989 2.989 2.989
V 0.000 0.000 0.000
```

Computed properties:
Space group: Fm-3m (225)
Calculated volume (Å³/cell): 53.4



Model D:
Entry from Alexandria via LeMat-Bulk: a geometry-optimized VMoS2 structure (PBE-GGA).

The structure in extended XYZ format:
```
4
Lattice="1.723 0.000 7.921 -0.861 1.492 7.921 -0.861 -1.492 7.921" Properties=species:S:1:pos:R:3 pbc="T T T"
V 0.000 0.000 11.881
S 0.000 0.000 2.381
S 0.000 0.000 21.381
Mo 0.000 0.000 0.000
```

Computed properties:
Space group: R-3m (166)
Calculated volume (Å³/cell): 61.1



Top of the stability list: model A, leading by 20 meV per atom.